Entry 1:
EuScNi2 PBE relaxed; E_tot = -7.320 eV/atom; calculated volume = 74 Å³/f.u.; SG = No. 123
1.0
-3.236 0.114 -0.608
0.016 -3.222 -0.688
-1.278 -1.402 6.538
Ni Sc Eu
2 1 1
Cartesian
-0.257 -0.282 1.317
-1.021 -1.120 5.222
-1.610 -1.554 -0.648
-2.249 -2.255 2.621



Entry 2:
NbFeTe4 PBE relaxed; E_tot = -5.356 eV/atom; calculated volume = 143 Å³/f.u.; SG = No. 15
1.0
-4.879 1.826 2.627
-3.685 -2.291 -4.848
3.720 -6.380 4.662
Te Fe Nb
8 2 2
Cartesian
-3.772 -2.464 1.134
-0.506 -1.369 -0.630
0.915 -5.179 4.456
-2.799 -4.153 -1.855
-2.046 -2.693 4.296
-4.338 -5.477 3.071
-5.760 -1.666 -2.015
-1.073 -4.381 1.307
-0.972 -5.704 -0.878
-3.873 -1.142 3.319
-3.115 -1.304 -1.437
-1.730 -5.542 3.878



Entry 3:
TbScFeNi PBE relaxed; E_tot = -6.442 eV/atom; calculated volume = 69 Å³/f.u.; SG = No. 216
1.0
4.597 0.000 0.000
2.299 3.981 0.000
2.299 1.327 3.754
Tb Ni Fe Sc
1 1 1 1
Cartesian
6.896 3.981 2.815
0.000 0.000 0.000
4.597 2.654 1.877
2.299 1.327 0.938